Record 1
Here is crystalline AgOs3 at its relaxed geometry from the Alexandria database. Energies are from PBE.

Properties
DOS(E_F), states/eV/atom: 1.447
Space-group type: No. 221
Formation energy from the elements, meV per atom: 870
Density, g/cm3: 18.77
Size of the total moment, μB/f.u.: 1.2
Polymorph energy (0 for the lowest one), meV/atom: 598

Cell lengths 3.9156, 3.9156, 3.9156 Å; angles 90.00, 90.00, 90.00 degrees
Each line ends with the local moment (μB).
Fractional coordinates of all 4 atoms:
Os  0.0000  0.5000  0.5000  0.37
Os  0.5000  0.5000  0.0000  0.37
Os  0.5000  0.0000  0.5000  0.37
Ag  0.0000  0.0000  0.0000  0.08

---

Record 2
Here is crystalline CoTc2Pt at its relaxed geometry from the Alexandria database. Energies are from PBE.

Properties
DOS(E_F), states/eV/atom: 1.388
Space-group type: No. 99
Formation energy from the elements, meV per atom: -19
Density, g/cm3: 13.51
Size of the total moment, μB/f.u.: 0.8
Polymorph energy (0 for the lowest one), meV/atom: 29

Cell lengths 2.6926, 2.6926, 7.6290 Å; angles 90.00, 90.00, 90.00 degrees
Each line ends with the local moment (μB).
Fractional coordinates of all 4 atoms:
Pt  0.5000  0.5000  0.7405  0.05
Tc  0.0000  0.0000  0.0019  0.07
Tc  0.5000  0.5000  0.2692  -0.03
Co  0.0000  0.0000  0.4885  0.77

---

Record 3
Here is crystalline ZrNpIrRu at its relaxed geometry from the Alexandria database. Energies are from PBE.

Properties
DOS(E_F), states/eV/atom: 1.505
Space-group type: No. 216
Formation energy from the elements, meV per atom: -354
Density, g/cm3: 13.81
Size of the total moment, μB/f.u.: 3.2

Cell lengths 4.7282, 4.7282, 4.7282 Å; angles 60.00, 60.00, 60.00 degrees
Each line ends with the local moment (μB).
Fractional coordinates of all 4 atoms:
Zr  0.0000  0.0000  0.0000  0.18
Np  0.5000  0.5000  0.5000  3.45
Ru  0.7500  0.7500  0.7500  -0.46
Ir  0.2500  0.2500  0.2500  -0.23

---

Record 4
Here is crystalline Tl2TeH2 at its relaxed geometry from the Alexandria database. Energies are from PBE.

Properties
DOS(E_F), states/eV/atom: 0.694
Space-group type: No. 139
Density, g/cm3: 8.89
Size of the total moment, μB/f.u.: 0.0
Polymorph energy (0 for the lowest one), meV/atom: 459

Cell lengths 3.9118, 3.9118, 7.1271 Å; angles 74.07, 74.07, 90.00 degrees
Fractional coordinates of all 5 atoms:
H  0.2500  0.7500  0.5000
H  0.7500  0.2500  0.5000
Te  0.0000  0.0000  0.0000
Tl  0.6539  0.6539  0.6921
Tl  0.3461  0.3461  0.3079

---

Record 5
Here is crystalline CaMnVP2 at its relaxed geometry from the Alexandria database. Energies are from PBE.

Properties
DOS(E_F), states/eV/atom: 0.634
Space-group type: No. 119
Formation energy from the elements, meV per atom: -788
Density, g/cm3: 4.10
Size of the total moment, μB/f.u.: 1.6

Cell lengths 3.8025, 3.8025, 6.4130 Å; angles 107.25, 107.25, 90.00 degrees
Each line ends with the local moment (μB).
Fractional coordinates of all 5 atoms:
V  0.7500  0.2500  0.5000  -0.75
Ca  0.0000  0.0000  0.0000  -0.02
P  0.3697  0.3697  0.7394  0.00
P  0.6303  0.6303  0.2606  0.00
Mn  0.2500  0.7500  0.5000  2.42

---

Record 6
Here is crystalline CuTc3O at its relaxed geometry from the Alexandria database. Energies are from PBE.

Properties
DOS(E_F), states/eV/atom: 1.223
Space-group type: No. 221
Density, g/cm3: 9.50
Size of the total moment, μB/f.u.: 0.0
Polymorph energy (0 for the lowest one), meV/atom: 0

Cell lengths 4.0272, 4.0272, 4.0272 Å; angles 90.00, 90.00, 90.00 degrees
Fractional coordinates of all 5 atoms:
Tc  0.5000  0.0000  0.0000
Tc  0.0000  0.0000  0.5000
Tc  0.0000  0.5000  0.0000
Cu  0.5000  0.5000  0.5000
O  0.0000  0.0000  0.0000

---

Record 7
Here is crystalline YGa2TcPb at its relaxed geometry from the Alexandria database. Energies are from PBE.

Properties
DOS(E_F), states/eV/atom: 1.049
Space-group type: No. 123
Formation energy from the elements, meV per atom: 1310
Density, g/cm3: 5.56
Size of the total moment, μB/f.u.: 3.1

Cell lengths 5.2025, 5.8913, 5.2025 Å; angles 90.00, 90.00, 90.00 degrees
Each line ends with the local moment (μB).
Fractional coordinates of all 5 atoms:
Ga  0.5000  0.0000  0.0000  -0.05
Ga  0.0000  0.0000  0.5000  -0.03
Y  0.0000  0.5000  0.0000  -0.18
Tc  0.5000  0.5000  0.5000  3.11
Pb  0.0000  0.0000  0.0000  0.02

---

Record 8
Here is crystalline Nd5Tm4Cd at its relaxed geometry from the Alexandria database. Energies are from PBE.

Properties
DOS(E_F), states/eV/atom: 1.401
Space-group type: No. 123
Formation energy from the elements, meV per atom: -38
Density, g/cm3: 7.87
Size of the total moment, μB/f.u.: 0.0

Cell lengths 3.6240, 3.6240, 24.2448 Å; angles 90.00, 90.00, 90.00 degrees
Fractional coordinates of all 10 atoms:
Tm  0.0000  0.0000  0.1926
Tm  0.0000  0.0000  0.6024
Tm  0.0000  0.0000  0.8074
Tm  0.0000  0.0000  0.3976
Nd  0.5000  0.5000  0.7046
Nd  0.5000  0.5000  0.2954
Nd  0.5000  0.5000  0.5000
Nd  0.5000  0.5000  0.0891
Nd  0.5000  0.5000  0.9109
Cd  0.0000  0.0000  0.0000

---

Record 9
Here is crystalline Cu2MoRh at its relaxed geometry from the Alexandria database. Energies are from PBE.

Properties
DOS(E_F), states/eV/atom: 1.622
Space-group type: No. 216
Formation energy from the elements, meV per atom: 180
Density, g/cm3: 9.83
Size of the total moment, μB/f.u.: 0.5

Cell lengths 4.2696, 4.2696, 4.2696 Å; angles 60.00, 60.00, 60.00 degrees
Each line ends with the local moment (μB).
Fractional coordinates of all 4 atoms:
Cu  0.0000  0.0000  0.0000  0.02
Cu  0.7500  0.7500  0.7500  0.07
Mo  0.5000  0.5000  0.5000  0.26
Rh  0.2500  0.2500  0.2500  0.07

---

Record 10
Here is crystalline AsBrCl2 at its relaxed geometry from the Alexandria database. Energies are from PBE.

Properties
DOS(E_F), states/eV/atom: 0.000
Space-group type: No. 8
Density, g/cm3: 2.39
Size of the total moment, μB/f.u.: 0.0
Polymorph energy (0 for the lowest one), meV/atom: 83

Cell lengths 6.9865, 6.9865, 6.9648 Å; angles 65.06, 65.06, 30.82 degrees
Fractional coordinates of all 4 atoms:
Cl  0.8125  0.8125  0.6748
Cl  0.0176  0.0176  0.1474
Br  0.2670  0.2670  0.2764
As  0.4029  0.4029  0.4014

---

Record 11
Here is crystalline AlGa2Ir at its relaxed geometry from the Alexandria database. Energies are from PBE.

Properties
DOS(E_F), states/eV/atom: 0.864
Space-group type: No. 166
Formation energy from the elements, meV per atom: 135
Density, g/cm3: 8.88
Size of the total moment, μB/f.u.: 0.0

Cell lengths 2.7936, 2.7936, 10.0548 Å; angles 82.01, 82.01, 60.00 degrees
Fractional coordinates of all 4 atoms:
Ga  0.9160  0.9160  0.2519
Ga  0.0840  0.0840  0.7481
Ir  0.0000  0.0000  0.0000
Al  0.5000  0.5000  0.5000

---

Record 12
Here is crystalline Y3TaFe at its relaxed geometry from the Alexandria database. Energies are from PBE.

Properties
DOS(E_F), states/eV/atom: 2.479
Space-group type: No. 221
Formation energy from the elements, meV per atom: 1379
Density, g/cm3: 5.37
Size of the total moment, μB/f.u.: 0.2
Polymorph energy (0 for the lowest one), meV/atom: 689

Cell lengths 5.3790, 5.3790, 5.3790 Å; angles 90.00, 90.00, 90.00 degrees
Each line ends with the local moment (μB).
Fractional coordinates of all 5 atoms:
Y  0.5000  0.0000  0.0000  0.01
Y  0.0000  0.0000  0.5000  0.00
Y  0.0000  0.5000  0.0000  0.01
Fe  0.5000  0.5000  0.5000  0.10
Ta  0.0000  0.0000  0.0000  0.04